! CdSiRu2 PBE relaxed; values from VASP
! - space-group type = C2/m
! - formation energy without anion corrections (kcal/mol of atoms) = -0.21
&SYSTEM
  ibrav = 0, nat = 4, ntyp = 3
/
ATOMIC_SPECIES
Cd 112.41 Cd.upf
Si 28.09 Si.upf
Ru 101.07 Ru.upf
CELL_PARAMETERS angstrom
3.849 -1.477 0.000
3.849 1.477 0.000
-1.188 0.000 5.617
ATOMIC_POSITIONS crystal
Cd 0.000 0.000 0.000
Si 0.500 0.500 0.500
Ru 0.233 0.233 0.690
Ru 0.767 0.767 0.310

! Cs3Nb6SBr17 PBE relaxed; values from VASP
! - space-group type = C2/c
! - formation energy without anion corrections (kcal/mol of atoms) = -26.70
&SYSTEM
  ibrav = 0, nat = 54, ntyp = 4
/
ATOMIC_SPECIES
Cs 132.91 Cs.upf
Nb 92.91 Nb.upf
S 32.06 S.upf
Br 79.90 Br.upf
CELL_PARAMETERS angstrom
9.112 -9.911 0.000
9.112 9.911 0.000
-0.244 0.000 9.651
ATOMIC_POSITIONS crystal
Cs 0.046 0.954 0.750
Cs 0.233 0.343 0.822
Cs 0.343 0.233 0.322
Cs 0.657 0.767 0.678
Cs 0.767 0.657 0.178
Cs 0.954 0.046 0.250
Nb 0.120 0.739 0.355
Nb 0.200 0.557 0.237
Nb 0.261 0.880 0.145
Nb 0.303 0.666 0.479
Nb 0.334 0.697 0.021
Nb 0.443 0.800 0.263
Nb 0.557 0.200 0.737
Nb 0.666 0.303 0.979
Nb 0.697 0.334 0.521
Nb 0.739 0.120 0.855
Nb 0.800 0.443 0.763
Nb 0.880 0.261 0.645
S 0.277 0.723 0.250
S 0.723 0.277 0.750
Br 0.017 0.568 0.315
Br 0.059 0.195 0.565
Br 0.067 0.810 0.105
Br 0.138 0.365 0.163
Br 0.143 0.701 0.617
Br 0.153 0.603 0.974
Br 0.190 0.933 0.395
Br 0.195 0.059 0.065
Br 0.246 0.475 0.473
Br 0.299 0.857 0.883
Br 0.365 0.138 0.663
Br 0.372 0.515 0.111
Br 0.379 0.621 0.750
Br 0.397 0.847 0.526
Br 0.432 0.983 0.185
Br 0.475 0.246 0.973
Br 0.485 0.628 0.389
Br 0.515 0.372 0.611
Br 0.525 0.754 0.027
Br 0.568 0.017 0.815
Br 0.603 0.153 0.474
Br 0.621 0.379 0.250
Br 0.628 0.485 0.889
Br 0.635 0.862 0.337
Br 0.701 0.143 0.117
Br 0.754 0.525 0.527
Br 0.805 0.941 0.935
Br 0.810 0.067 0.605
Br 0.847 0.397 0.026
Br 0.857 0.299 0.383
Br 0.862 0.635 0.837
Br 0.933 0.190 0.895
Br 0.941 0.805 0.435
Br 0.983 0.432 0.685

! PaMnTlN4 PBE relaxed; values from VASP
! - space-group type = P2_1/m
! - formation energy without anion corrections (kcal/mol of atoms) = -9.60
&SYSTEM
  ibrav = 0, nat = 14, ntyp = 4
/
ATOMIC_SPECIES
Pa 231.04 Pa.upf
Mn 54.94 Mn.upf
Tl 204.38 Tl.upf
N 14.01 N.upf
CELL_PARAMETERS angstrom
5.809 0.000 0.000
0.000 5.422 0.000
-2.221 0.000 7.661
ATOMIC_POSITIONS crystal
Pa 0.241 0.250 0.057
Pa 0.759 0.750 0.943
Mn 0.224 0.750 0.843
Mn 0.776 0.250 0.157
Tl 0.301 0.250 0.586
Tl 0.699 0.750 0.414
N 0.029 0.506 0.834
N 0.029 0.994 0.834
N 0.418 0.750 0.716
N 0.426 0.750 0.047
N 0.574 0.250 0.953
N 0.582 0.250 0.284
N 0.971 0.006 0.166
N 0.971 0.494 0.166

! CePmH PBE relaxed; values from VASP
! - space-group type = Cmce
! - excess energy over the best structure of this formula in the dataset (kJ/mol of formula units) = 1
&SYSTEM
  ibrav = 0, nat = 12, ntyp = 3
/
ATOMIC_SPECIES
Ce 140.12 Ce.upf
Pm 145.00 Pm.upf
H 1.01 H.upf
CELL_PARAMETERS angstrom
3.682 -6.581 0.000
3.682 6.581 0.000
0.000 0.000 5.916
ATOMIC_POSITIONS crystal
Ce 0.171 0.829 0.759
Ce 0.329 0.671 0.259
Ce 0.671 0.329 0.741
Ce 0.829 0.171 0.241
Pm 0.174 0.326 0.750
Pm 0.326 0.174 0.250
Pm 0.674 0.826 0.750
Pm 0.826 0.674 0.250
H 0.164 0.836 0.147
H 0.336 0.664 0.647
H 0.664 0.336 0.353
H 0.836 0.164 0.853

! RbCu3Ge PBE relaxed; values from VASP
! - energy of formation from the pure elements (meV per atom) = 1861.6
! - space-group type = Pm-3m
! - excess energy over the best structure of this formula in the dataset (kJ/mol of formula units) = 765
&SYSTEM
  ibrav = 0, nat = 5, ntyp = 3
/
ATOMIC_SPECIES
Rb 85.47 Rb.upf
Cu 63.55 Cu.upf
Ge 72.64 Ge.upf
CELL_PARAMETERS angstrom
5.211 0.000 0.000
0.000 5.211 0.000
0.000 0.000 5.211
ATOMIC_POSITIONS crystal
Rb 0.000 0.000 0.000
Cu 0.000 0.000 0.500
Cu 0.000 0.500 0.000
Cu 0.500 0.000 0.000
Ge 0.500 0.500 0.500

E, record by record: -6.2316; -4.6966; -8.1781; -4.8196; -1.7131 eV per atom